Entry 1:
# CaAl3Pt

CaAl3Pt after structural relaxation (GGA-PBE, Alexandria).

Properties
- total energy (eV/atom) = -4.55
- SG = P2_1/m (11)
- density of states at the Fermi level (states/eV/f.u.) = 2.3

Structure (extended XYZ):
```
10
Lattice="6.9031 0.0000 0.0000 0.0000 4.1781 0.0000 -2.0902 0.0000 6.8047" Properties=species:S:1:pos:R:3 pbc="T T T"
Ca 0.9560 1.0445 1.1771
Ca 3.8570 3.1336 5.6276
Al -0.7884 1.0445 4.3589
Al 0.4841 3.1336 6.1293
Al 1.3098 3.1336 3.5125
Al 3.5031 1.0445 3.2922
Al 4.3289 1.0445 0.6754
Al 5.6014 3.1336 2.4457
Pt 1.6212 1.0445 5.0074
Pt 3.1918 3.1336 1.7972
```


Entry 2:
# DyHBr2

DyHBr2 after structural relaxation (GGA-PBE, Alexandria).

Properties
- total energy (eV/atom) = -4.13
- SG = Pnna (52)
- density of states at the Fermi level (states/eV/f.u.) = 0.0

Structure (extended XYZ):
```
16
Lattice="7.2448 0.0000 0.0000 0.0000 6.2454 0.0000 0.0000 0.0000 10.5125" Properties=species:S:1:pos:R:3 pbc="T T T"
Dy 1.8112 0.0000 1.1836
Dy 1.8112 3.1227 4.0726
Dy 5.4336 0.0000 9.3288
Dy 5.4336 3.1227 6.4399
H 1.4537 1.5614 2.6281
H 2.1686 4.6841 2.6281
H 5.0761 1.5614 7.8843
H 5.7910 4.6841 7.8843
Br 0.5268 1.5365 9.7128
Br 0.5268 1.5862 6.0559
Br 3.0956 4.6592 6.0559
Br 3.0956 4.7089 9.7128
Br 4.1492 1.5365 0.7997
Br 4.1492 1.5862 4.4566
Br 6.7179 4.6592 4.4566
Br 6.7179 4.7089 0.7997
```


Entry 3:
# AsRh3I

AsRh3I after structural relaxation (GGA-PBE, Alexandria).

Properties
- distance to the lowest polymorph of the same formula (meV per atom) = 689
- total energy (eV/atom) = -4.46
- formation energy without anion corrections (meV/atom) = 1195
- SG = Pm-3m (221)
- density of states at the Fermi level (states/eV/f.u.) = 4.1

Structure (extended XYZ):
```
5
Lattice="4.8261 0.0000 0.0000 0.0000 4.8261 0.0000 0.0000 0.0000 4.8261" Properties=species:S:1:pos:R:3 pbc="T T T"
As 0.0000 0.0000 0.0000
Rh 0.0000 2.4131 2.4131
Rh 2.4131 0.0000 2.4131
Rh 2.4131 2.4131 0.0000
I 2.4131 2.4131 2.4131
```


Entry 4:
# Tm2PaCu

Tm2PaCu after structural relaxation (GGA-PBE, Alexandria).

Properties
- distance to the lowest polymorph of the same formula (meV per atom) = 311
- total energy (eV/atom) = -5.34
- SG = R-3m (166)
- density of states at the Fermi level (states/eV/f.u.) = 5.5

Structure (extended XYZ):
```
12
Lattice="3.2207 0.0000 0.0000 -1.6104 2.7892 0.0000 0.0000 0.0000 32.4280" Properties=species:S:1:pos:R:3 pbc="T T T"
Tm 0.0000 0.0000 3.2042
Tm 0.0000 0.0000 29.2238
Tm 0.0000 1.8595 18.4145
Tm 0.0000 1.8595 24.8229
Tm 1.6104 0.9297 7.6051
Tm 1.6104 0.9297 14.0135
Pa 0.0000 0.0000 0.0000
Pa 0.0000 1.8595 21.6187
Pa 1.6104 0.9297 10.8093
Cu 0.0000 0.0000 16.2140
Cu 0.0000 1.8595 5.4047
Cu 1.6104 0.9297 27.0233
```


Entry 5:
# LiMgPb

LiMgPb after structural relaxation (GGA-PBE, Alexandria).

Properties
- distance to the lowest polymorph of the same formula (meV per atom) = 116
- total energy (eV/atom) = -2.47
- SG = I4/mmm (139)
- density of states at the Fermi level (states/eV/f.u.) = 1.2

Structure (extended XYZ):
```
12
Lattice="3.8149 0.0000 0.0000 0.0000 3.8149 0.0000 0.0000 0.0000 21.9602" Properties=species:S:1:pos:R:3 pbc="T T T"
Li 0.0000 0.0000 1.6133
Li 0.0000 0.0000 20.3470
Li 1.9074 1.9074 9.3668
Li 1.9074 1.9074 12.5934
Mg 0.0000 0.0000 4.6892
Mg 0.0000 0.0000 17.2711
Mg 1.9074 1.9074 6.2909
Mg 1.9074 1.9074 15.6693
Pb 0.0000 0.0000 7.9008
Pb 0.0000 0.0000 14.0595
Pb 1.9074 1.9074 3.0793
Pb 1.9074 1.9074 18.8809
```


Entry 6:
# LiGdBi

LiGdBi after structural relaxation (GGA-PBE, Alexandria).

Properties
- distance to the lowest polymorph of the same formula (meV per atom) = 0
- total energy (eV/atom) = -7.25
- SG = P-6m2 (187)
- density of states at the Fermi level (states/eV/f.u.) = 3.9

Structure (extended XYZ):
```
3
Lattice="4.5851 0.0000 0.0000 -2.2925 3.9708 0.0000 0.0000 0.0000 4.2135" Properties=species:S:1:pos:R:3 pbc="T T T"
Li 0.0000 0.0000 0.0000
Gd 2.2925 1.3236 2.1067
Bi 0.0000 2.6472 0.0000
```